No. 1
This record from OQMD describes a relaxed NbSe2 crystal. The functional is PBE.

Geometry as POSCAR:
```
NbSe2
1.0
3.480 0.000 0.000
-1.740 3.013 0.000
0.000 0.000 6.535
Nb Se
1 2
Direct
0.000 0.000 0.000 Nb
0.333 0.667 0.257 Se
0.667 0.333 0.743 Se
```

Results
- Final energy: -6.51 eV/atom


No. 2
This record from OQMD describes a relaxed NbSe2 crystal. The functional is PBE.

Geometry as POSCAR:
```
NbSe2
1.0
1.738 -11.425 0.000
1.738 11.425 0.000
0.000 0.000 6.039
Nb Se
2 4
Direct
0.000 0.000 0.000 Nb
0.500 0.500 0.498 Nb
0.073 0.927 0.333 Se
0.427 0.573 0.833 Se
0.573 0.427 0.833 Se
0.927 0.073 0.333 Se
```

Results
- Final energy: -6.53 eV/atom


No. 3
This record from OQMD describes a relaxed NbSe2 crystal. The functional is PBE.

Geometry as POSCAR:
```
NbSe2
1.0
0.000 11.541 3.007
1.736 0.000 3.007
1.736 11.541 0.000
Nb Se
1 2
Direct
0.000 0.000 0.000 Nb
0.261 0.406 0.594 Se
0.406 0.261 0.739 Se
```

Results
- Final energy: -6.53 eV/atom


No. 4
This record from OQMD describes a relaxed NbSe2 crystal. The functional is PBE.

Geometry as POSCAR:
```
NbSe2
1.0
6.944 0.000 0.000
-3.472 6.013 0.000
0.000 0.000 12.831
Nb Se
8 16
Direct
0.000 0.000 0.250 Nb
0.000 0.000 0.750 Nb
0.006 0.503 0.250 Nb
0.497 0.503 0.250 Nb
0.497 0.994 0.250 Nb
0.503 0.006 0.750 Nb
0.503 0.497 0.750 Nb
0.994 0.497 0.750 Nb
0.166 0.333 0.118 Se
0.166 0.333 0.382 Se
0.166 0.834 0.118 Se
0.166 0.834 0.382 Se
0.333 0.166 0.618 Se
0.333 0.166 0.882 Se
0.333 0.667 0.621 Se
0.333 0.667 0.879 Se
0.667 0.333 0.121 Se
0.667 0.333 0.379 Se
0.667 0.834 0.118 Se
0.667 0.834 0.382 Se
0.834 0.166 0.618 Se
0.834 0.166 0.882 Se
0.834 0.667 0.618 Se
0.834 0.667 0.882 Se
```

Results
- Final energy: -6.53 eV/atom


No. 5
This record from OQMD describes a relaxed NbSe2 crystal. The functional is PBE.

Geometry as POSCAR:
```
NbSe2
1.0
0.000 5.577 5.577
5.577 0.000 5.577
5.577 5.577 0.000
Nb Se
2 4
Direct
0.125 0.125 0.125 Nb
0.875 0.875 0.875 Nb
0.000 0.000 0.000 Se
0.000 0.000 0.500 Se
0.000 0.500 0.000 Se
0.500 0.000 0.000 Se
```

Results
- Final energy: -5.99 eV/atom


No. 6
This record from OQMD describes a relaxed NbSe2 crystal. The functional is PBE.

Geometry as POSCAR:
```
NbSe2
1.0
0.000 3.862 3.862
3.862 0.000 3.862
3.862 3.862 0.000
Nb Se
2 4
Direct
0.125 0.125 0.125 Nb
0.875 0.875 0.875 Nb
0.000 0.500 0.500 Se
0.500 0.000 0.500 Se
0.500 0.500 0.000 Se
0.500 0.500 0.500 Se
```

Results
- Final energy: -4.74 eV/atom


No. 7
This record from OQMD describes a relaxed NbSe2 crystal. The functional is PBE.

Geometry as POSCAR:
```
NbSe2
1.0
1.741 -3.001 0.000
1.741 3.001 0.000
0.000 0.000 23.575
Nb Se
2 4
Direct
0.084 0.916 0.750 Nb
0.916 0.084 0.250 Nb
0.252 0.748 0.179 Se
0.252 0.748 0.321 Se
0.748 0.252 0.679 Se
0.748 0.252 0.821 Se
```

Results
- Final energy: -6.53 eV/atom


No. 8
This record from OQMD describes a relaxed Nb2Se9 crystal. The functional is PBE.

Geometry as POSCAR:
```
Nb2Se9
1.0
8.336 0.000 0.000
-0.442 8.514 0.000
-0.741 -1.399 8.459
Nb Se
4 18
Direct
0.085 0.138 0.102 Nb
0.411 0.402 0.362 Nb
0.589 0.598 0.638 Nb
0.915 0.862 0.898 Nb
0.048 0.597 0.786 Se
0.072 0.844 0.175 Se
0.109 0.289 0.411 Se
0.167 0.023 0.814 Se
0.234 0.424 0.088 Se
0.315 0.679 0.503 Se
0.400 0.098 0.194 Se
0.461 0.308 0.644 Se
0.473 0.687 0.913 Se
0.527 0.313 0.087 Se
0.539 0.692 0.356 Se
0.600 0.902 0.806 Se
0.685 0.321 0.497 Se
0.766 0.576 0.912 Se
0.833 0.977 0.186 Se
0.891 0.711 0.589 Se
0.928 0.156 0.825 Se
0.952 0.403 0.214 Se
```

Results
- Final energy: -5.20 eV/atom


No. 9
This record from OQMD describes a relaxed NbSe crystal. The functional is PBE.

Geometry as POSCAR:
```
NbSe
1.0
0.000 2.940 2.940
2.940 0.000 2.940
2.940 2.940 0.000
Nb Se
1 1
Direct
0.000 0.000 0.000 Nb
0.750 0.750 0.750 Se
```

Results
- Final energy: -6.69 eV/atom


No. 10
This record from OQMD describes a relaxed NbSe3 crystal. The functional is PBE.

Geometry as POSCAR:
```
NbSe3
1.0
13.459 0.000 0.000
0.000 3.445 0.000
-5.366 0.000 13.809
Nb Se
6 18
Direct
0.116 0.250 0.061 Nb
0.125 0.250 0.690 Nb
0.331 0.750 0.664 Nb
0.669 0.250 0.336 Nb
0.875 0.750 0.310 Nb
0.884 0.750 0.939 Nb
0.026 0.250 0.323 Se
0.066 0.750 0.919 Se
0.132 0.750 0.559 Se
0.184 0.250 0.243 Se
0.252 0.750 0.811 Se
0.270 0.750 0.088 Se
0.388 0.750 0.258 Se
0.394 0.750 0.535 Se
0.456 0.250 0.788 Se
0.544 0.750 0.212 Se
0.606 0.250 0.465 Se
0.612 0.250 0.742 Se
0.730 0.250 0.912 Se
0.748 0.250 0.189 Se
0.816 0.750 0.757 Se
0.868 0.250 0.441 Se
0.934 0.250 0.081 Se
0.974 0.750 0.677 Se
```

Results
- Final energy: -5.57 eV/atom


No. 11
This record from OQMD describes a relaxed NbSe3 crystal. The functional is PBE.

Geometry as POSCAR:
```
NbSe3
1.0
10.284 0.000 0.000
0.000 3.504 0.000
-5.064 0.000 14.859
Nb Se
6 18
Direct
0.036 0.250 0.383 Nb
0.335 0.250 0.038 Nb
0.385 0.250 0.708 Nb
0.615 0.750 0.292 Nb
0.665 0.750 0.962 Nb
0.964 0.750 0.617 Nb
0.064 0.750 0.262 Se
0.123 0.250 0.568 Se
0.165 0.750 0.075 Se
0.174 0.750 0.923 Se
0.219 0.750 0.749 Se
0.243 0.750 0.416 Se
0.410 0.250 0.223 Se
0.416 0.750 0.589 Se
0.461 0.250 0.906 Se
0.539 0.750 0.094 Se
0.584 0.250 0.411 Se
0.590 0.750 0.777 Se
0.757 0.250 0.584 Se
0.781 0.250 0.251 Se
0.826 0.250 0.077 Se
0.835 0.250 0.925 Se
0.877 0.750 0.432 Se
0.936 0.250 0.738 Se
```

Results
- Final energy: -5.80 eV/atom


No. 12
This record from OQMD describes a relaxed NbSe2 crystal. The functional is PBE.

Geometry as POSCAR:
```
NbSe2
1.0
26.397 0.000 0.000
0.000 1.737 3.004
0.000 -1.737 3.004
Nb Se
4 8
Direct
0.000 0.000 0.000 Nb
0.240 0.668 0.668 Nb
0.500 0.444 0.444 Nb
0.760 0.668 0.668 Nb
0.063 0.334 0.334 Se
0.177 0.001 0.001 Se
0.304 0.334 0.334 Se
0.436 0.776 0.776 Se
0.564 0.776 0.776 Se
0.696 0.334 0.334 Se
0.823 0.001 0.001 Se
0.937 0.334 0.334 Se
```

Results
- Final energy: -6.52 eV/atom


No. 13
This record from OQMD describes a relaxed Sr2NbTcSe6 crystal. The functional is PBE.

Geometry as POSCAR:
```
Sr2NbTcSe6
1.0
6.072 -3.507 0.000
6.072 3.507 0.000
-4.248 0.000 5.860
Sr Nb Tc Se
2 1 1 6
Direct
0.247 0.247 0.231 Sr
0.753 0.753 0.769 Sr
0.000 0.000 0.500 Nb
0.500 0.500 0.000 Tc
0.202 0.695 0.196 Se
0.254 0.254 0.655 Se
0.305 0.798 0.804 Se
0.695 0.202 0.196 Se
0.746 0.746 0.345 Se
0.798 0.305 0.804 Se
```

Results
- Final energy: -5.41 eV/atom


No. 14
This record from OQMD describes a relaxed Sr2NbTcSe6 crystal. The functional is PBE.

Geometry as POSCAR:
```
Sr2NbTcSe6
1.0
6.881 0.000 0.000
3.317 6.161 0.000
3.197 2.078 5.876
Sr Nb Tc Se
2 1 1 6
Direct
0.240 0.244 0.271 Sr
0.760 0.756 0.729 Sr
0.000 0.000 0.000 Nb
0.500 0.500 0.500 Tc
0.182 0.320 0.711 Se
0.222 0.807 0.686 Se
0.353 0.756 0.155 Se
0.647 0.244 0.845 Se
0.778 0.193 0.314 Se
0.818 0.680 0.289 Se
```

Results
- Final energy: -5.41 eV/atom


No. 15
This record from OQMD describes a relaxed TaNbSe crystal. The functional is PBE.

Geometry as POSCAR:
```
TaNbSe
1.0
3.395 0.000 0.000
0.000 3.395 0.000
0.000 0.000 10.198
Ta Nb Se
2 2 2
Direct
0.250 0.250 0.075 Ta
0.750 0.750 0.925 Ta
0.250 0.250 0.762 Nb
0.750 0.750 0.238 Nb
0.250 0.250 0.356 Se
0.750 0.750 0.644 Se
```

Results
- Final energy: -8.99 eV/atom


No. 16
This record from OQMD describes a relaxed NbTcSe2 crystal. The functional is PBE.

Geometry as POSCAR:
```
NbTcSe2
1.0
3.736 0.000 0.000
0.000 3.736 0.000
0.000 0.000 5.271
Nb Tc Se
1 1 2
Direct
0.000 0.000 0.000 Nb
0.500 0.500 0.500 Tc
0.000 0.000 0.500 Se
0.500 0.500 0.000 Se
```

Results
- Final energy: -6.61 eV/atom


No. 17
This record from OQMD describes a relaxed Nb2Te3Se crystal. The functional is PBE.

Geometry as POSCAR:
```
Nb2Te3Se
1.0
6.314 0.000 0.000
0.000 3.636 0.000
-3.128 0.000 11.826
Nb Te Se
2 3 1
Direct
0.000 0.000 0.000 Nb
0.473 0.500 0.999 Nb
0.236 0.500 0.165 Te
0.578 0.000 0.845 Te
0.731 0.000 0.155 Te
0.083 0.500 0.864 Se
```

Results
- Final energy: -6.05 eV/atom


No. 18
This record from OQMD describes a relaxed Nb2Te3Se crystal. The functional is PBE.

Geometry as POSCAR:
```
Nb2Te3Se
1.0
11.490 -1.818 0.000
11.490 1.818 0.000
-0.018 0.000 6.321
Nb Te Se
2 3 1
Direct
0.000 0.000 0.000 Nb
0.500 0.500 0.471 Nb
0.080 0.080 0.655 Te
0.415 0.415 0.152 Te
0.921 0.921 0.653 Te
0.570 0.570 0.149 Se
```

Results
- Final energy: -6.05 eV/atom


No. 19
This record from OQMD describes a relaxed NbTeSe crystal. The functional is PBE.

Geometry as POSCAR:
```
NbTeSe
1.0
1.787 -11.376 0.000
1.787 11.376 0.000
0.000 0.000 6.213
Nb Te Se
2 2 2
Direct
0.000 0.000 0.000 Nb
0.500 0.500 0.468 Nb
0.419 0.581 0.816 Te
0.581 0.419 0.816 Te
0.074 0.926 0.320 Se
0.926 0.074 0.320 Se
```

Results
- Final energy: -6.20 eV/atom


No. 20
This record from OQMD describes a relaxed NbTeSe crystal. The functional is PBE.

Geometry as POSCAR:
```
NbTeSe
1.0
3.579 0.000 0.000
0.000 11.694 3.121
0.000 -11.694 3.121
Nb Te Se
2 2 2
Direct
0.000 0.000 0.000 Nb
0.500 0.463 0.463 Nb
0.500 0.734 0.890 Te
0.500 0.890 0.734 Te
0.000 0.246 0.390 Se
0.000 0.390 0.246 Se
```

Results
- Final energy: -6.21 eV/atom